*A*
This record from Alexandria describes an optimized crystal structure of NdY7Er12. The functional is PBE-GGA.

Total magnetic moment = 0.000 Bohr magnetons per cell
Fermi-level density of states = 26.92 states/eV per cell

abc: 9.6972 9.6972 9.6972
angles: 109.47 109.47 109.47
Closest atoms and distances in Å follow each position.
Element x y z (fractional)
Nd 0.0000 0.0000 0.0000  12 Er 4.03
Y 0.0000 0.0000 0.5000  6 Er 2.80
Y 0.0000 0.5000 0.0000  6 Er 2.80
Y 0.0000 0.5000 0.5000  12 Er 3.88-3.96
Y 0.5000 0.0000 0.0000  6 Er 2.80
Y 0.5000 0.0000 0.5000  12 Er 3.88-3.96
Y 0.5000 0.5000 0.0000  12 Er 3.88-3.96
Y 0.5000 0.5000 0.5000  6 Er 2.80
Er 0.0000 0.2547 0.7453  2 Y 2.80
Er 0.0000 0.7453 0.2547  2 Y 2.80
Er 0.2547 0.0000 0.7453  2 Y 2.80
Er 0.2547 0.2547 0.5094  2 Y 2.80
Er 0.2547 0.5094 0.2547  2 Y 2.80
Er 0.2547 0.7453 0.0000  2 Y 2.80
Er 0.4906 0.7453 0.7453  2 Y 2.80
Er 0.5094 0.2547 0.2547  2 Y 2.80
Er 0.7453 0.0000 0.2547  2 Y 2.80
Er 0.7453 0.2547 0.0000  2 Y 2.80
Er 0.7453 0.4906 0.7453  2 Y 2.80
Er 0.7453 0.7453 0.4906  2 Y 2.80



*B*
This record from Alexandria describes an optimized crystal structure of NdY7Er12. The functional is PBE-GGA.

Total magnetic moment = 0.000 Bohr magnetons per cell
Fermi-level density of states = 36.54 states/eV per cell

abc: 8.6898 8.6898 8.6898
angles: 87.15 87.15 87.15
Closest atoms and distances in Å follow each position.
Element x y z (fractional)
Nd 0.0000 0.0000 0.0000  6 Y 3.30
Y 0.0024 0.8792 0.3662  1 Y 3.21, 4 Er 3.24-3.43, 1 Nd 3.30
Y 0.1208 0.6338 0.9976  1 Y 3.21, 4 Er 3.24-3.43, 1 Nd 3.30
Y 0.3662 0.0024 0.8792  1 Y 3.21, 4 Er 3.24-3.43, 1 Nd 3.30
Y 0.5000 0.5000 0.5000  6 Er 3.40
Y 0.6338 0.9976 0.1208  1 Y 3.21, 4 Er 3.24-3.43, 1 Nd 3.30
Y 0.8792 0.3662 0.0024  1 Y 3.21, 4 Er 3.24-3.43, 1 Nd 3.30
Y 0.9976 0.1208 0.6338  1 Y 3.21, 4 Er 3.24-3.43, 1 Nd 3.30
Er 0.1061 0.4334 0.3474  6 Er 3.37-3.73, 3 Y 3.43-3.75
Er 0.2337 0.3559 0.7610  4 Y 3.24-3.40, 2 Er 3.53-3.54
Er 0.2390 0.7663 0.6441  4 Y 3.24-3.40, 2 Er 3.53-3.54
Er 0.3474 0.1061 0.4334  6 Er 3.37-3.73, 3 Y 3.43-3.75
Er 0.3559 0.7610 0.2337  4 Y 3.24-3.40, 2 Er 3.53-3.54
Er 0.4334 0.3474 0.1061  6 Er 3.37-3.73, 3 Y 3.43-3.75
Er 0.5666 0.6526 0.8939  6 Er 3.37-3.73, 3 Y 3.43-3.75
Er 0.6441 0.2390 0.7663  4 Y 3.24-3.40, 2 Er 3.53-3.54
Er 0.6526 0.8939 0.5666  6 Er 3.37-3.73, 3 Y 3.43-3.75
Er 0.7610 0.2337 0.3559  4 Y 3.24-3.40, 2 Er 3.53-3.54
Er 0.7663 0.6441 0.2390  4 Y 3.24-3.40, 2 Er 3.53-3.54
Er 0.8939 0.5666 0.6526  6 Er 3.37-3.73, 3 Y 3.43-3.75



Least stable = *A*